Record 1
An optimized crystal structure of AsOsCl2, computed with GGA-PBEsol.

Cell: 3.289 3.289 8.520 Å, 78.87 78.87 60.00°
Positions (direct):
As 0.237 0.237 0.290
Os 0.511 0.511 0.467
Cl 0.979 0.979 0.063
Cl 0.773 0.773 0.680

Results
Theoretical density: 7.2 g/cm³
Crystal system: trigonal
E_form (uncorrected): 146 meV/atom
Relative energy among the computed polymorphs: 0.00 eV/f.u.



Record 2
An optimized crystal structure of Tb4Al24Pd9, computed with GGA-PBEsol.

Cell: 7.484 7.482 13.058 Å, 84.53 79.01 60.14°
Positions (direct):
Tb 0.438 0.168 0.191
Tb 0.562 0.832 0.809
Tb 0.768 0.498 0.191
Tb 0.232 0.502 0.809
Al 0.483 0.834 0.055
Al 0.517 0.166 0.945
Al 0.021 0.833 0.438
Al 0.979 0.167 0.562
Al 0.353 0.167 0.440
Al 0.647 0.833 0.560
Al 0.617 0.166 0.670
Al 0.383 0.834 0.330
Al 0.056 0.506 0.330
Al 0.944 0.494 0.670
Al 0.730 0.160 0.331
Al 0.270 0.840 0.669
Al 0.148 0.499 0.056
Al 0.852 0.501 0.944
Al 0.817 0.168 0.045
Al 0.183 0.832 0.955
Al 0.313 0.500 0.560
Al 0.687 0.500 0.440
Al 0.103 0.164 0.816
Al 0.897 0.836 0.184
Al 0.309 0.630 0.185
Al 0.691 0.370 0.815
Al 0.103 0.043 0.184
Al 0.897 0.957 0.816
Pd 0.387 0.492 0.362
Pd 0.613 0.508 0.638
Pd 0.171 0.171 0.000
Pd 0.829 0.829 0.000
Pd 0.295 0.167 0.638
Pd 0.705 0.833 0.362
Pd 0.046 0.174 0.362
Pd 0.954 0.826 0.638
Pd 0.500 0.500 0.000

Results
Theoretical density: 6.0 g/cm³
Crystal system: triclinic
Uncorrected energy: -199.02 eV for the cell shown



Record 3
An optimized crystal structure of Ba2Pt, computed with GGA-PBEsol.

Cell: 4.202 7.446 7.533 Å, 90.00 90.00 106.39°
Positions (direct):
Ba 0.233 0.466 0.093
Ba 0.506 0.011 0.760
Ba 0.767 0.534 0.593
Ba 0.494 0.989 0.260
Pt 0.117 0.234 0.479
Pt 0.883 0.766 0.979

Results
Theoretical density: 6.9 g/cm³
Crystal system: orthorhombic
Uncorrected energy: -25.40 eV for the cell shown



Record 4
An optimized crystal structure of CuPt2Rh, computed with GGA-PBEsol.

Cell: 2.714 3.797 5.361 Å, 90.00 89.96 90.00°
Positions (direct):
Rh 0.500 0.500 0.000
Cu 0.500 0.500 0.500
Pt 0.000 0.000 0.748
Pt 0.000 0.000 0.252

Results
Theoretical density: 16.7 g/cm³
Crystal system: orthorhombic
Uncorrected energy: -26.59 eV for the cell shown



Which of these has the lowest theoretical density? Tb4Al24Pd9